[1]
A plane-wave DFT calculation with PBE was carried out for PmCdCu4 after structural relaxation.

abc: 5.170 5.170 5.170
angles: 60.00 60.00 60.00
Element x y z (fractional)
Pm (0.000, 0.000, 0.000)
Cd (0.250, 0.250, 0.250)
Cu (0.129, 0.624, 0.624)
Cu (0.624, 0.129, 0.624)
Cu (0.624, 0.624, 0.129)
Cu (0.624, 0.624, 0.624)

Calculated values
As for the formation energy: -210 meV per atom. The space group is F-43m (216). As for the density: 8.7 g cm⁻³. The value obtained for the total energy is -3.89 eV/atom.

[2]
A plane-wave DFT calculation with PBE was carried out for ZrBrF3 after structural relaxation.

abc: 4.612 4.612 4.612
angles: 90.00 90.00 90.00
Element x y z (fractional)
Zr (0.000, 0.000, 0.000)
Br (0.500, 0.500, 0.500)
F (0.000, 0.500, 0.500)
F (0.500, 0.000, 0.500)
F (0.500, 0.500, 0.000)

Calculated values
Its distance to the lowest polymorph of the same formula is 2663 meV per atom. The space group is Pm-3m (221). As for the density: 3.9 g cm⁻³. The value obtained for the total energy is -3.46 eV/atom.

[3]
A plane-wave DFT calculation with PBE was carried out for VGaCoRh2 after structural relaxation.

abc: 4.429 4.429 4.487
angles: 90.00 90.00 90.00
Element x y z (fractional)
V (0.000, 0.000, 0.000)
Ga (0.000, 0.000, 0.500)
Co (0.500, 0.500, 0.000)
Rh (0.000, 0.500, 0.500)
Rh (0.500, 0.000, 0.500)

Calculated values
As for the formation energy: 1270 meV per atom. The space group is P4/mmm (123). As for the density: 7.3 g cm⁻³. The value obtained for the total energy is -5.52 eV/atom.